# Rb4Hf3CuSe8 | Alexandria via LeMat-Bulk | PBE | optimized geometry
data_Rb4Hf3CuSe8
_space_group_name_H-M_alt 'C 1 2/m 1'
_space_group_IT_number 12
_cell_length_a 13.835
_cell_length_b 7.977
_cell_length_c 9.162
_cell_angle_alpha 90.00
_cell_angle_beta 120.24
_cell_angle_gamma 90.00
loop_
_space_group_symop_operation_xyz
'x,y,z'
'-x,-y,-z'
'-x,y,-z'
'x,-y,z'
'x+1/2,y+1/2,z'
'-x+1/2,-y+1/2,-z'
'-x+1/2,y+1/2,-z'
'x+1/2,-y+1/2,z'
loop_
_atom_site_label
_atom_site_type_symbol
_atom_site_fract_x
_atom_site_fract_y
_atom_site_fract_z
Rb1 Rb 0.000 0.000 0.000
Rb2 Rb 0.000 0.500 0.000
Rb3 Rb 0.250 0.250 0.000
Hf1 Hf 0.000 0.000 0.500
Hf2 Hf 0.250 0.250 0.500
Cu1 Cu 0.000 0.500 0.500
Se1 Se 0.023 0.247 0.317
Se2 Se 0.230 0.000 0.691
Se3 Se 0.230 0.500 0.683
# VASP energy (eV per atom): -5.23
# Formation energy without anion corrections (eV/atom): -1.13
# Spin magnetization (μB/atom): 0.000